[1]
KCa3Ti: relaxed, PBE.

Output
The calculation puts the energy relative to the lowest polymorph listed for this composition at 0.813 eV per atom. As for the formation energy from the elements: 1.41 eV per atom.

abc: 5.7642 5.7642 5.7642
angles: 90.00 90.00 90.00
Positions (direct):
Ca 0.0000 0.5000 0.0000
Ca 0.0000 0.0000 0.5000
Ca 0.5000 0.0000 0.0000
K 0.0000 0.0000 0.0000
Ti 0.5000 0.5000 0.5000



[2]
LaAuSe4: relaxed, PBE.

Output
As for the formation energy from raw total energies: -0.289 eV/atom.

abc: 5.7784 5.7784 5.7784
angles: 60.00 60.00 60.00
Positions (direct):
La 0.0000 0.0000 0.0000
Au 0.7500 0.7500 0.7500
Se 0.8728 0.3757 0.3757
Se 0.3757 0.3757 0.8728
Se 0.3757 0.8728 0.3757
Se 0.3757 0.3757 0.3757



[3]
AcCo3Ge3: relaxed, PBE.

Output
The calculation puts the energy relative to the lowest polymorph listed for this composition at 0.000 eV per atom. As for the formation energy from the elements: -0.15 eV per atom.

abc: 6.4664 6.4664 6.4664
angles: 90.00 90.00 90.00
Positions (direct):
Ac 0.5000 0.5000 0.5000
Ac 0.0000 0.0000 0.0000
Co 0.2500 0.0000 0.5000
Co 0.0000 0.5000 0.2500
Co 0.5000 0.7500 0.0000
Co 0.7500 0.0000 0.5000
Co 0.0000 0.5000 0.7500
Co 0.5000 0.2500 0.0000
Ge 0.0000 0.2500 0.5000
Ge 0.0000 0.7500 0.5000
Ge 0.5000 0.0000 0.7500
Ge 0.7500 0.5000 0.0000
Ge 0.5000 0.0000 0.2500
Ge 0.2500 0.5000 0.0000



[4]
SrAc3Pm2Se6: relaxed, PBE.

Output
As for the formation energy from raw total energies: -1.865 eV/atom.

abc: 7.5471 7.5471 7.5903
angles: 99.49 99.49 120.05
Positions (direct):
Sr 0.0000 0.0000 0.0000
Ac 0.1646 0.8354 0.5000
Ac 0.8354 0.1646 0.5000
Ac 0.5000 0.5000 0.5000
Pm 0.3326 0.6674 0.0000
Pm 0.6674 0.3326 0.0000
Se 0.9210 0.5834 0.7630
Se 0.7396 0.7396 0.2325
Se 0.0790 0.4166 0.2370
Se 0.5834 0.9210 0.7630
Se 0.2604 0.2604 0.7675
Se 0.4166 0.0790 0.2370



[5]
MnCr2Te: relaxed, PBE.

Output
As for the formation energy from raw total energies: 0.345 eV/atom.

abc: 3.4031 3.4031 5.6529
angles: 90.00 90.00 90.00
Site moments in Bohr magnetons follow the coordinates.
Positions (direct):
Cr 0.0000 0.0000 0.0196  2.99
Cr 0.5000 0.5000 0.2463  -2.65
Mn 0.0000 0.0000 0.4859  3.29
Te 0.5000 0.5000 0.7482  -0.06



[6]
SmNb6Sn6: relaxed, PBE.

Output
As for the formation energy from the elements: -0.33 eV per atom.

abc: 5.8128 7.5517 7.5517
angles: 79.42 67.36 67.36
Positions (direct):
Sm 0.0000 0.0000 0.0000
Nb 0.0000 0.5000 0.0000
Nb 0.5000 0.5000 0.0000
Nb 0.0000 0.0000 0.5000
Nb 0.5000 0.0000 0.5000
Nb 0.5000 0.7475 0.2525
Nb 0.5000 0.2525 0.7475
Sn 0.3335 0.6665 0.6665
Sn 0.6665 0.3335 0.3335
Sn 0.0000 0.3294 0.6706
Sn 0.0000 0.6706 0.3294
Sn 0.3350 0.1650 0.1650
Sn 0.6650 0.8350 0.8350



| no. | calculated volume (A^3/atom) | uncorrected energy (eV per formula unit) |
| --- | --- | --- |
| 1 | 38.304 | -8.0 |
| 2 | 22.738 | -23.9 |
| 3 | 19.313 | -40.3 |
| 4 | 29.438 | -66.8 |
| 5 | 16.367 | -30.2 |
| 6 | 21.703 | -93.4 |